Here is a relaxed structure of Na2TlMo from Alexandria via LeMat-Bulk. Energies are from PBE.

Calculated values
Symmetry: No. 122
Offset from the most stable computed form (eV per formula unit): 0.209

Cell: 8.601 8.601 6.735 Å, 50.32 50.32 90.00°
Last column: magnetic moment on the atom in μB.
Positions (direct):
Tl1 0.000 0.000 0.000  -0.07
Mo1 0.250 0.750 0.500  3.00
Na1 0.875 0.880 0.750  0.00
Na2 0.375 0.370 0.750  0.00
Na3 0.630 0.125 0.250  0.00
Mo2 0.500 0.500 0.000  3.00
Tl2 0.750 0.250 0.500  -0.07
Na4 0.120 0.625 0.250  0.00



Here is a relaxed structure of TaInCoBi2 from Alexandria via LeMat-Bulk. Energies are from PBE.

Calculated values
Symmetry: No. 123

Cell: 5.076 4.775 5.076 Å, 90.00 90.00 90.00°
Positions (direct):
Bi1 0.000 0.000 0.500
In1 0.000 0.500 0.000
Ta1 0.500 0.500 0.500
Co1 0.000 0.000 0.000
Bi2 0.500 0.000 0.000



Here is a relaxed structure of SrLa4W from Alexandria via LeMat-Bulk. Energies are from PBE.

Calculated values
Symmetry: No. 216

Cell: 6.546 6.546 6.546 Å, 60.00 60.00 60.00°
Last column: magnetic moment on the atom in μB.
Positions (direct):
La1 0.371 0.371 0.888  -0.06
La2 0.371 0.371 0.371  -0.06
Sr1 0.750 0.750 0.750  -0.01
La3 0.888 0.371 0.371  -0.06
La4 0.371 0.888 0.371  -0.06
W1 0.000 0.000 0.000  1.95



Here is a relaxed structure of SmTmCoIr from Alexandria via LeMat-Bulk. Energies are from PBE.

Calculated values
Symmetry: No. 216

Cell: 4.821 4.821 4.821 Å, 60.00 60.00 60.00°
Last column: magnetic moment on the atom in μB.
Positions (direct):
Co1 0.500 0.500 0.500  0.88
Ir1 0.000 0.000 0.000  0.07
Tm1 0.750 0.750 0.750  -0.17
Sm1 0.250 0.250 0.250  -0.10



For each record above, in turn, the calculated total moment values are 3.4; 0.0; 2.4; 0.5 μB/f.u..
For each record above, in turn, the calculated energy values are -3.00; -4.88; -4.80; -6.75 eV per atom.
For each record above, in turn, the calculated DOS(E_F) values are 4.75; 9.09; 10.79; 1.17 states/eV per cell.